Entry 1:
Here is a geometry-optimized LaSc2 structure from Alexandria via LeMat-Bulk. Energies are from PBE.

Output
energy above the most stable polymorph in this dataset = 0.032 eV/atom
ρ = 4.5 g cm⁻³
E = -69.241 eV for the cell shown

Structure (POSCAR):
```
LaSc2
1.0
12.388 0.000 0.000
0.000 3.480 0.000
-1.937 0.000 7.878
La Sc
4 8
Cartesian
0.000 0.000 0.000
1.308 1.740 2.663
6.194 1.740 0.000
7.502 0.000 2.663
-0.639 0.000 4.827
0.994 1.740 7.269
2.800 0.000 5.199
4.135 0.000 2.180
5.555 1.740 4.827
7.189 0.000 7.269
8.994 1.740 5.199
10.329 1.740 2.180
```

***

Entry 2:
Here is a geometry-optimized ZnGaAu14 structure from Alexandria via LeMat-Bulk. Energies are from PBE.

Output
ρ = 16.8 g cm⁻³
E = -50.724 eV for the cell shown

Structure (POSCAR):
```
ZnGaAu14
1.0
9.437 0.000 0.000
0.000 3.181 4.763
0.000 -3.181 4.763
Zn Ga Au
1 1 14
Cartesian
0.000 0.000 0.000
0.000 0.000 4.785
0.000 -1.580 2.419
0.000 1.580 2.419
2.227 -1.582 5.331
2.227 1.582 5.331
2.339 0.000 7.752
2.370 0.000 2.958
4.718 0.000 1.233
4.718 -1.594 3.643
4.718 0.000 6.006
4.718 1.594 3.643
7.066 0.000 2.958
7.098 0.000 7.752
7.210 -1.582 5.331
7.210 1.582 5.331
```